Entry 1:
## ScBe2Cu2 (PBE-GGA)

Data for ScBe2Cu2 after structural relaxation.

```
data_ScBe2Cu2
_cell_length_a 3.893
_cell_length_b 3.893
_cell_length_c 5.117
_cell_angle_alpha 67.64
_cell_angle_beta 67.64
_cell_angle_gamma 90.00
_symmetry_space_group_name_H-M 'P 1'
_symmetry_Int_Tables_number 1
_symmetry_space_group_name_Hall 'P 1'
loop_
_atom_site_label
_atom_site_fract_x
_atom_site_fract_y
_atom_site_fract_z
Sc1 0.000 0.000 0.000
Be1 0.750 0.250 0.500
Be2 0.250 0.750 0.500
Cu1 0.365 0.365 0.269
Cu2 0.635 0.635 0.731
```

Results
The calculated volume is 65.38 Å³ per cell. The calculation puts the total DFT energy (no corrections) at -0.32796 Ry/atom. The excess energy over the best structure of this formula in the dataset comes out at 0.0 kJ/mol of atoms. Its space group is I4/mmm.

Entry 2:
## CeSe2Br2Cl2 (PBE-GGA)

Data for CeSe2Br2Cl2 after structural relaxation.

```
data_CeSe2Br2Cl2
_cell_length_a 4.087
_cell_length_b 10.059
_cell_length_c 7.288
_cell_angle_alpha 67.72
_cell_angle_beta 73.72
_cell_angle_gamma 78.28
_symmetry_space_group_name_H-M 'P 1'
_symmetry_Int_Tables_number 1
_symmetry_space_group_name_Hall 'P 1'
loop_
_atom_site_label
_atom_site_fract_x
_atom_site_fract_y
_atom_site_fract_z
Ce1 0.000 0.000 0.000
Se1 0.081 0.487 0.352
Se2 0.919 0.513 0.648
Br1 0.159 0.723 0.958
Br2 0.841 0.277 0.042
Cl1 0.597 0.086 0.721
Cl2 0.403 0.914 0.279
```

Results
The value obtained for the formation energy from raw total energies is -1.109 eV/atom. The calculated volume is 264.56 Å³ per cell. The calculation puts the total DFT energy (no corrections) at -0.29092 Ry/atom. Its space group is C2/m.

Entry 3:
## YMgMn2 (PBE-GGA)

Data for YMgMn2 after structural relaxation.

```
data_YMgMn2
_cell_length_a 3.316
_cell_length_b 3.315
_cell_length_c 7.145
_cell_angle_alpha 90.00
_cell_angle_beta 90.00
_cell_angle_gamma 90.00
_symmetry_space_group_name_H-M 'P 1'
_symmetry_Int_Tables_number 1
_symmetry_space_group_name_Hall 'P 1'
loop_
_atom_site_label
_atom_site_fract_x
_atom_site_fract_y
_atom_site_fract_z
Mg1 0.500 0.500 0.750
Mn1 0.000 0.000 0.971
Mn2 0.000 0.000 0.529
Y1 0.500 0.500 0.250
```

Results
The calculated volume is 78.55 Å³ per cell. The calculation puts the total DFT energy (no corrections) at -0.46457 Ry/atom. Its space group is P4/mmm.

Entry 4:
## Pm4CdRh2 (PBE-GGA)

Data for Pm4CdRh2 after structural relaxation.

```
data_Pm4CdRh2
_cell_length_a 8.801
_cell_length_b 8.796
_cell_length_c 7.049
_cell_angle_alpha 107.50
_cell_angle_beta 107.51
_cell_angle_gamma 120.98
_symmetry_space_group_name_H-M 'P 1'
_symmetry_Int_Tables_number 1
_symmetry_space_group_name_Hall 'P 1'
loop_
_atom_site_label
_atom_site_fract_x
_atom_site_fract_y
_atom_site_fract_z
Pm1 0.966 0.276 0.408
Pm2 0.371 0.545 0.269
Pm3 0.821 0.595 0.571
Pm4 0.796 0.120 0.769
Pm5 0.395 0.998 0.234
Pm6 0.248 0.144 0.732
Pm7 0.525 0.716 0.907
Pm8 0.843 0.570 0.070
Cd1 0.280 0.795 0.587
Cd2 0.045 0.030 0.089
Rh1 0.446 0.370 0.557
Rh2 0.793 0.854 0.375
Rh3 0.619 0.195 0.056
Rh4 0.104 0.543 0.876
```

Results
The calculated volume is 370.41 Å³ per cell. The calculation puts the total DFT energy (no corrections) at -0.40002 Ry/atom. The excess energy over the best structure of this formula in the dataset comes out at 0.0 kJ/mol of atoms. Its space group is P1.

Entry 5:
## KAl2Ge2 (PBE-GGA)

Data for KAl2Ge2 after structural relaxation.

```
data_KAl2Ge2
_cell_length_a 3.979
_cell_length_b 3.979
_cell_length_c 8.394
_cell_angle_alpha 76.29
_cell_angle_beta 76.29
_cell_angle_gamma 90.00
_symmetry_space_group_name_H-M 'P 1'
_symmetry_Int_Tables_number 1
_symmetry_space_group_name_Hall 'P 1'
loop_
_atom_site_label
_atom_site_fract_x
_atom_site_fract_y
_atom_site_fract_z
Ge1 0.360 0.360 0.281
Ge2 0.640 0.640 0.719
K1 0.000 0.000 0.000
Al1 0.750 0.250 0.500
Al2 0.250 0.750 0.500
```

Results
The calculated volume is 125.21 Å³ per cell. The calculation puts the total DFT energy (no corrections) at -0.27231 Ry/atom. The excess energy over the best structure of this formula in the dataset comes out at 0.0 kJ/mol of atoms. Its space group is I4/mmm.

Entry 6:
## SmCuO3 (PBE-GGA)

Data for SmCuO3 after structural relaxation.

```
data_SmCuO3
_cell_length_a 3.812
_cell_length_b 3.812
_cell_length_c 3.812
_cell_angle_alpha 90.00
_cell_angle_beta 90.00
_cell_angle_gamma 90.00
_symmetry_space_group_name_H-M 'P 1'
_symmetry_Int_Tables_number 1
_symmetry_space_group_name_Hall 'P 1'
loop_
_atom_site_label
_atom_site_fract_x
_atom_site_fract_y
_atom_site_fract_z
O1 0.500 0.500 0.000
O2 0.500 0.000 0.500
O3 0.000 0.500 0.500
Cu1 0.500 0.500 0.500
Sm1 0.000 0.000 0.000
```

Results
The value obtained for the formation energy from raw total energies is -1.865 eV/atom. The calculated volume is 55.41 Å³ per cell. The calculation puts the total DFT energy (no corrections) at -0.48528 Ry/atom. Its space group is Pm-3m.

Question: What is the formula in the fifth record?
Answer: KAl2Ge2